USe2I | PBE-GGA | relaxed

Unit cell a=10.5105 b=10.5105 c=10.5105 alpha=22.01 beta=22.01 gamma=22.01
Positions (direct):
U: 0.0000 0.0000 0.0000
Se: 0.2821 0.2821 0.2821
Se: 0.7179 0.7179 0.7179
I: 0.5000 0.5000 0.5000

Properties
- Density of states at the Fermi level: 6.9 states/eV/cell
- SG: R-3m, No. 166
- Energy relative to the lowest polymorph listed for this composition: 99 meV/atom
- E: -5.6386 eV/atom
- E_form (uncorrected): -687 meV/atom

=====

USeI | PBE-GGA | relaxed

Unit cell a=7.5015 b=7.5015 c=7.5015 alpha=151.78 beta=151.78 gamma=40.33
Positions (direct):
U: 0.0000 0.0000 0.0000
Se: 0.4000 0.4000 0.0000
I: 0.6474 0.6474 0.0000

Properties
- Density of states at the Fermi level: 6.1 states/eV/cell
- SG: I4mm, No. 107
- E: -6.2939 eV/atom
- E_form (uncorrected): -853 meV/atom

=====

USe2I | PBE-GGA | relaxed

Unit cell a=8.3233 b=8.3233 c=8.3233 alpha=31.58 beta=31.58 gamma=31.58
Positions (direct):
U: 0.0000 0.0000 0.0000
Se: 0.3899 0.3899 0.3899
Se: 0.6319 0.6319 0.6319
I: 0.8717 0.8717 0.8717

Properties
- Density of states at the Fermi level: 5.8 states/eV/cell
- SG: R3m, No. 160
- Energy relative to the lowest polymorph listed for this composition: 0 meV/atom
- E: -5.7372 eV/atom
- E_form (uncorrected): -785 meV/atom

=====

USeI | PBE-GGA | relaxed

Unit cell a=4.1302 b=4.1302 c=7.2757 alpha=90.00 beta=90.00 gamma=120.00
Positions (direct):
U: 0.0000 0.0000 0.0000
Se: 0.3333 0.6667 0.2088
I: 0.6667 0.3333 0.7123

Properties
- Density of states at the Fermi level: 3.8 states/eV/cell
- SG: P3m1, No. 156
- E: -6.3388 eV/atom
- E_form (uncorrected): -898 meV/atom

=====

USe2I4 | PBE-GGA | relaxed

Unit cell a=11.0208 b=11.0208 c=7.5597 alpha=99.48 beta=99.48 gamma=22.69
Positions (direct):
U: 0.0000 0.0000 0.0000
Se: 0.2422 0.2422 0.4292
Se: 0.7578 0.7578 0.5708
I: 0.1131 0.1131 0.8419
I: 0.4430 0.4430 0.7332
I: 0.5570 0.5570 0.2668
I: 0.8869 0.8869 0.1581

Properties
- Density of states at the Fermi level: 2.9 states/eV/cell
- SG: C2/m, No. 12
- E: -3.9755 eV/atom
- E_form (uncorrected): -482 meV/atom

=====

VSe4I | PBE-GGA | relaxed

Unit cell a=8.5028 b=8.5028 c=5.9307 alpha=99.02 beta=99.02 gamma=63.96
Positions (direct):
V: 0.0363 0.0363 0.2813
V: 0.9637 0.9637 0.7187
Se: 0.1138 0.7262 0.3911
Se: 0.2044 0.7956 0.0000
Se: 0.2063 0.2063 0.3105
Se: 0.2738 0.8862 0.6089
Se: 0.7262 0.1138 0.3911
Se: 0.7937 0.7937 0.6895
Se: 0.7956 0.2044 0.0000
Se: 0.8862 0.2738 0.6089
I: 0.2588 0.2588 0.8920
I: 0.7412 0.7412 0.1080

Properties
- Density of states at the Fermi level: 2.2 states/eV/cell
- SG: C2/m, No. 12
- E: -4.3085 eV/atom
- E_form (uncorrected): -207 meV/atom